An optimized crystal structure of GaPAuCl2, computed with PBE.

The calculation puts the density of states at the Fermi level at 1.99 states/eV/cell. The calculation puts the uncorrected formation energy at 0.204 eV per atom. The energy above the most stable polymorph in this dataset is 0 meV/atom.

a = 5.3441 Å, b = 5.3441 Å, c = 4.7273 Å
α = 90.00°, β = 90.00°, γ = 90.00°
With the nearest neighbours (Å) after each atom.
Space group P4/mmm (No. 123)
One atom of each set of equivalent atoms:
Ga1 0.0000 0.0000 0.0000  8 Cl 3.57, 4 P 3.78
P1 0.5000 0.5000 0.0000  2 Au 2.36
Au1 0.5000 0.5000 0.5000  2 P 2.36
Cl1 0.0000 0.5000 0.5000  2 Au 2.67

An optimized crystal structure of Np2MnNiS5, computed with PBE.

The calculation puts the density of states at the Fermi level at 66.17 states/eV/cell. The calculation puts the uncorrected formation energy at -1.022 eV per atom.

a = 3.6903 Å, b = 15.6383 Å, c = 11.2390 Å
α = 90.00°, β = 90.00°, γ = 90.00°
With the nearest neighbours (Å) after each atom.
Space group Cmc2_1 (No. 36)
One atom of each set of equivalent atoms:
Np1 0.0000 0.1101 0.0000  8 S 2.75-3.06
Np2 0.0000 0.1245 0.3540  8 S 2.73-2.99
Mn1 0.0000 0.1739 0.6818  6 S 2.45-2.63
Ni1 0.0000 0.4400 0.0803  4 S 2.18-2.23
S1 0.0000 0.0171 0.6747  2 Ni 2.23, 1 Mn 2.45
S2 0.0000 0.3051 0.0175  1 Ni 2.23
S3 0.0000 0.3074 0.3375  2 Mn 2.56, 1 Np 2.87
S4 0.0000 0.3362 0.6755  1 Mn 2.54, 4 Np 2.79-2.83
S5 0.0000 0.4991 0.9050  1 Ni 2.18

An optimized crystal structure of KSb, computed with PBE.

The calculation puts the density of states at the Fermi level at 10.90 states/eV/cell. The calculation puts the uncorrected formation energy at -0.261 eV per atom. The energy above the most stable polymorph in this dataset is 179 meV/atom.

a = 5.9370 Å, b = 11.3328 Å, c = 7.7488 Å
α = 90.00°, β = 90.00°, γ = 90.00°
With the nearest neighbours (Å) after each atom.
Space group Amm2 (No. 38)
One atom of each set of equivalent atoms:
K1 0.0000 0.0000 0.0000  5 Sb 3.49-3.79
K2 0.5000 0.1894 0.4198  6 Sb 3.61-3.70
Sb1 0.0000 0.0000 0.4896  2 Sb 2.89
Sb2 0.0000 0.2185 0.6811  1 Sb 2.89

An optimized crystal structure of RbIrOs, computed with PBE.

The calculation puts the density of states at the Fermi level at 2.78 states/eV/cell. The energy above the most stable polymorph in this dataset is 329 meV/atom.

a = 4.1271 Å, b = 4.1271 Å, c = 5.8787 Å
α = 90.00°, β = 90.00°, γ = 120.00°
With the nearest neighbours (Å) after each atom.
Space group P-6m2 (No. 187)
One atom of each set of equivalent atoms:
Rb1 0.0000 0.0000 0.0000  6 Os 3.78, 6 Ir 3.78, 6 Rb 4.13
Ir1 0.6667 0.3333 0.5000  3 Os 2.38
Os1 0.3333 0.6667 0.5000  3 Ir 2.38

An optimized crystal structure of Tc2Ag2Ir, computed with PBE.

The calculation puts the density of states at the Fermi level at 14.31 states/eV/cell. The calculation puts the total energy at -30.3 eV/f.u.

a = 3.4239 Å, b = 3.4239 Å, c = 14.9164 Å
α = 90.00°, β = 90.00°, γ = 90.00°
With the nearest neighbours (Å) after each atom.
Space group I4/mmm (No. 139)
One atom of each set of equivalent atoms:
Tc1 0.0000 0.5000 0.2500  4 Tc 2.42
Ag1 0.0000 0.0000 0.0970  4 Ir 2.82, 4 Tc 2.85, 1 Ag 2.89
Ir1 0.0000 0.0000 0.5000  8 Ag 2.82

An optimized crystal structure of GaSeO2, computed with PBE.

The calculation puts the density of states at the Fermi level at 2.39 states/eV/cell. The calculation puts the uncorrected formation energy at -1.069 eV per atom. The energy above the most stable polymorph in this dataset is 0 meV/atom.

a = 3.0366 Å, b = 3.0366 Å, c = 18.7424 Å
α = 90.00°, β = 90.00°, γ = 120.00°
With the nearest neighbours (Å) after each atom.
Space group R-3m (No. 166, hexagonal axes)
One atom of each set of equivalent atoms:
Ga1 0.0000 0.0000 0.0000  6 O 2.02
Se1 0.0000 0.0000 0.5000  2 O 2.11
O1 0.0000 0.0000 0.3874  3 Ga 2.02, 1 Se 2.11

An optimized crystal structure of Ba4Tl2Br, computed with PBE.

The calculation puts the density of states at the Fermi level at 20.98 states/eV/cell. The calculation puts the uncorrected formation energy at -0.604 eV per atom. The energy above the most stable polymorph in this dataset is 64 meV/atom.

a = 6.3265 Å, b = 6.3265 Å, c = 17.0116 Å
α = 90.00°, β = 90.00°, γ = 90.00°
With the nearest neighbours (Å) after each atom.
Space group I4/mmm (No. 139)
One atom of each set of equivalent atoms:
Ba1 0.0000 0.0000 0.1991  1 Tl 3.38, 1 Br 3.39
Ba2 0.0000 0.5000 0.0000  2 Br 3.16
Tl1 0.0000 0.0000 0.3979  5 Ba 3.38-3.61, 1 Tl 3.48
Br1 0.0000 0.0000 0.0000  6 Ba 3.16-3.39

An optimized crystal structure of BaReSe2, computed with PBE.

The calculation puts the density of states at the Fermi level at 8.81 states/eV/cell. The calculation puts the uncorrected formation energy at 0.019 eV per atom. The energy above the most stable polymorph in this dataset is 521 meV/atom.

a = 4.3075 Å, b = 5.5848 Å, c = 7.5121 Å
α = 90.00°, β = 90.00°, γ = 90.00°
With the nearest neighbours (Å) after each atom.
Space group Cmmm (No. 65)
One atom of each set of equivalent atoms:
Ba1 0.0000 0.0000 0.0000  4 Se 3.13
Re1 0.0000 0.0000 0.5000  4 Se 2.61
Se1 0.0000 0.5000 0.3030  2 Re 2.61

An optimized crystal structure of TlGe2Br5, computed with PBE.

The calculation puts the density of states at the Fermi level at 0.00 states/eV/cell. The calculation puts the uncorrected formation energy at -0.625 eV per atom.

a = 5.6233 Å, b = 12.8674 Å, c = 14.5637 Å
α = 90.00°, β = 90.00°, γ = 90.00°
With the nearest neighbours (Å) after each atom.
Space group Cmcm (No. 63)
One atom of each set of equivalent atoms:
Tl1 0.0000 0.0081 0.2500  8 Br 3.40-3.76
Ge1 0.0000 0.3605 0.5650  5 Br 2.61-2.88
Br1 0.0000 0.1526 0.0549  2 Ge 2.82
Br2 0.0000 0.2984 0.7500  2 Ge 2.81
Br3 0.0000 0.4458 0.1178  2 Ge 2.61-2.88

An optimized crystal structure of TcBr2O, computed with PBE.

The calculation puts the density of states at the Fermi level at 16.62 states/eV/cell. The calculation puts the uncorrected formation energy at 0.800 eV per atom. The energy above the most stable polymorph in this dataset is 1556 meV/atom.

a = 6.2902 Å, b = 6.2902 Å, c = 6.2902 Å
α = 90.00°, β = 90.00°, γ = 90.00°
With the nearest neighbours (Å) after each atom.
Space group Fm-3m (No. 225)
One atom of each set of equivalent atoms:
Tc1 0.0000 0.0000 0.0000  8 Br 2.72
Br1 0.2500 0.2500 0.2500  4 O 2.72, 4 Tc 2.72
O1 0.0000 0.0000 0.5000  8 Br 2.72

An optimized crystal structure of Y2CoN, computed with PBE.

The calculation puts the density of states at the Fermi level at 9.56 states/eV/cell. The calculation puts the uncorrected formation energy at -0.276 eV per atom.

a = 3.3815 Å, b = 3.3815 Å, c = 23.3630 Å
α = 90.00°, β = 90.00°, γ = 120.00°
With the nearest neighbours (Å) after each atom.
Space group R-3m (No. 166, hexagonal axes)
One atom of each set of equivalent atoms:
Y1 0.0000 0.0000 0.1079  3 N 2.39, 1 Co 2.52
Co1 0.0000 0.0000 0.0000  2 Y 2.52
N1 0.0000 0.0000 0.5000  6 Y 2.39

An optimized crystal structure of Y2Ga3Pt4, computed with PBE.

The calculation puts the density of states at the Fermi level at 15.35 states/eV/cell. The calculation puts the total energy at -55.5 eV/f.u.

a = 5.6097 Å, b = 15.3010 Å, c = 7.6405 Å
α = 90.00°, β = 90.00°, γ = 90.00°
With the nearest neighbours (Å) after each atom.
Space group Cmce (No. 64)
One atom of each set of equivalent atoms:
Y1 0.0000 0.1072 0.0914  8 Pt 3.05-3.35, 4 Ga 3.10-3.32
Ga1 0.0000 0.0000 0.5000  6 Pt 2.54-2.78
Ga2 0.2500 0.2302 0.7500  5 Pt 2.60-2.63, 2 Ga 2.80
Pt1 0.0000 0.1815 0.4753  5 Ga 2.60-2.78
Pt2 0.2500 0.0592 0.7500  3 Ga 2.54-2.62, 2 Pt 2.80